The following is a PBE with a Hubbard U calculation of a relaxed MgFe4O9 crystal, from the Alexandria database.

The calculation puts the electronic total energy at -5.981 eV/atom. Its volume is 366.78 Å³ per cell. The calculation puts the mass density at 3.55 g/cm3.

The structure belongs to space group P4/n (No. 85, origin choice 2); the cell edges are 8.2721, 8.2721 and 5.3601 Å and the angles 90.00°, 90.00° and 90.00°. The asymmetric unit holds Mg at (0.2500, 0.2500, 0.1863), Fe at (0.0265, 0.6635, 0.3926), O at (0.0468, 0.1423, 0.4192), O at (0.0616, 0.2998, 0.9215) and O at (0.2500, 0.7500, 0.5000).